P.
Here is crystalline Pa2AgHg at its relaxed geometry from the Alexandria database. Energies are from PBE.

Cell and atoms, written as POSCAR:
```
Pa2AgHg
1.0
3.123 0.000 0.000
0.000 3.123 0.000
0.000 0.000 9.462
Pa Ag Hg
2 1 1
direct
0.000 0.000 0.243
0.000 0.000 0.757
0.500 0.500 0.000
0.500 0.500 0.500
```

density of states at the Fermi level: 1.98 states/eV/atom
symmetry: P4/mmm
M_tot: 0.711 μB/cell
crystal system: tetragonal



Q.
Here is crystalline Pa2AgHg at its relaxed geometry from the Alexandria database. Energies are from PBE.

Cell and atoms, written as POSCAR:
```
Pa2AgHg
1.0
4.376 0.000 0.000
0.000 4.376 0.000
0.000 0.000 4.797
Pa Ag Hg
2 1 1
direct
0.000 0.500 0.000
0.500 0.000 0.000
0.000 0.000 0.500
0.500 0.500 0.500
```

density of states at the Fermi level: 1.61 states/eV/atom
symmetry: P4/mmm
M_tot: 0.009 μB/cell
crystal system: tetragonal



What should be chosen as the least stable of them? Choose P.



P.
Here is crystalline AgHgPb4 at its relaxed geometry from the Alexandria database. Energies are from PBE.

Cell and atoms, written as POSCAR:
```
AgHgPb4
1.0
4.579 -6.897 0.000
4.579 6.897 0.000
-2.065 0.000 5.495
Ag Hg Pb
2 2 8
direct
0.009 0.991 0.750
0.991 0.009 0.250
0.380 0.620 0.750
0.620 0.380 0.250
0.057 0.697 0.415
0.214 0.373 0.153
0.303 0.943 0.085
0.373 0.214 0.653
0.627 0.786 0.347
0.697 0.057 0.915
0.786 0.627 0.847
0.943 0.303 0.585
```

density of states at the Fermi level: 0.44 states/eV/atom
symmetry: C2/c
M_tot: 0.000 μB/cell
crystal system: monoclinic



Q.
Here is crystalline AgHgPb4 at its relaxed geometry from the Alexandria database. Energies are from PBE.

Cell and atoms, written as POSCAR:
```
AgHgPb4
1.0
0.000 4.554 4.554
4.554 0.000 4.554
4.554 4.554 0.000
Ag Hg Pb
1 1 4
direct
0.000 0.000 0.000
0.750 0.750 0.750
0.375 0.375 0.375
0.375 0.375 0.875
0.375 0.875 0.375
0.875 0.375 0.375
```

density of states at the Fermi level: 0.35 states/eV/atom
symmetry: F-43m
M_tot: 0.000 μB/cell
crystal system: cubic



What should be chosen as the least stable of them? Choose Q.



P.
Here is crystalline AgHgPb at its relaxed geometry from the Alexandria database. Energies are from PBE.

Cell and atoms, written as POSCAR:
```
AgHgPb
1.0
0.000 3.422 3.422
3.422 0.000 3.422
3.422 3.422 0.000
Ag Hg Pb
1 1 1
direct
0.000 0.000 0.000
0.250 0.250 0.250
0.750 0.750 0.750
```

density of states at the Fermi level: 0.49 states/eV/atom
symmetry: F-43m
M_tot: 0.000 μB/cell
crystal system: cubic



Q.
Here is crystalline AgHgPb at its relaxed geometry from the Alexandria database. Energies are from PBE.

Cell and atoms, written as POSCAR:
```
AgHgPb
1.0
-1.794 1.794 5.703
1.794 -1.794 5.703
1.794 1.794 -5.703
Ag Hg Pb
1 1 1
direct
0.000 0.000 0.000
0.360 0.360 0.000
0.666 0.666 0.000
```

density of states at the Fermi level: 0.40 states/eV/atom
symmetry: I4mm
M_tot: 0.000 μB/cell
crystal system: tetragonal



R.
Here is crystalline AgHgPb at its relaxed geometry from the Alexandria database. Energies are from PBE.

Cell and atoms, written as POSCAR:
```
AgHgPb
1.0
7.280 -1.829 0.000
7.280 1.829 0.000
-2.424 0.000 5.572
Ag Hg Pb
2 2 2
direct
0.126 0.126 0.132
0.874 0.874 0.868
0.496 0.496 0.260
0.504 0.504 0.740
0.194 0.194 0.697
0.806 0.806 0.303
```

density of states at the Fermi level: 0.47 states/eV/atom
symmetry: C2/m
M_tot: 0.000 μB/cell
crystal system: monoclinic



What should be chosen as the least stable of them? Choose P.



P.
Here is crystalline AgHgPb at its relaxed geometry from the Alexandria database. Energies are from PBE.

Cell and atoms, written as POSCAR:
```
AgHgPb
1.0
15.262 0.000 0.000
0.000 1.646 2.996
0.000 -1.646 2.996
Ag Hg Pb
2 2 2
direct
0.146 0.000 0.000
0.854 0.000 0.000
0.000 0.675 0.675
0.500 0.991 0.991
0.306 0.682 0.682
0.694 0.682 0.682
```

density of states at the Fermi level: 0.45 states/eV/atom
symmetry: Amm2
M_tot: 0.000 μB/cell
crystal system: orthorhombic



Q.
Here is crystalline AgHgPb at its relaxed geometry from the Alexandria database. Energies are from PBE.

Cell and atoms, written as POSCAR:
```
AgHgPb
1.0
3.802 0.000 0.000
1.872 5.142 0.000
0.070 2.802 7.588
Ag Hg Pb
2 2 2
direct
0.173 0.153 0.071
0.827 0.847 0.929
0.494 0.503 0.203
0.506 0.497 0.797
0.177 0.155 0.614
0.823 0.845 0.386
```

density of states at the Fermi level: 0.29 states/eV/atom
symmetry: P-1
M_tot: 0.000 μB/cell
crystal system: triclinic



What should be chosen as the least stable of them? Choose P.



P.
Here is crystalline Ag2HgPb2 at its relaxed geometry from the Alexandria database. Energies are from PBE.

Cell and atoms, written as POSCAR:
```
Ag2HgPb2
1.0
7.531 0.000 0.000
0.000 7.531 0.000
0.000 0.000 4.401
Ag Hg Pb
4 2 4
direct
0.133 0.367 0.000
0.367 0.867 0.000
0.633 0.133 0.000
0.867 0.633 0.000
0.000 0.000 0.000
0.500 0.500 0.000
0.166 0.666 0.500
0.334 0.166 0.500
0.666 0.834 0.500
0.834 0.334 0.500
```

density of states at the Fermi level: 0.45 states/eV/atom
symmetry: P4/mbm
M_tot: 0.000 μB/cell
crystal system: tetragonal



Q.
Here is crystalline Ag2HgPb2 at its relaxed geometry from the Alexandria database. Energies are from PBE.

Cell and atoms, written as POSCAR:
```
Ag2HgPb2
1.0
-1.997 1.997 8.203
1.997 -1.997 8.203
1.997 1.997 -8.203
Ag Hg Pb
2 1 2
direct
0.250 0.750 0.500
0.750 0.250 0.500
0.000 0.000 0.000
0.394 0.394 0.000
0.606 0.606 0.000
```

density of states at the Fermi level: 0.45 states/eV/atom
symmetry: I4/mmm
M_tot: 0.000 μB/cell
crystal system: tetragonal



What should be chosen as the least stable of them? Choose Q.



P.
Here is crystalline AgHg2Pb8 at its relaxed geometry from the Alexandria database. Energies are from PBE.

Cell and atoms, written as POSCAR:
```
AgHg2Pb8
1.0
7.700 -2.787 0.000
7.700 2.787 0.000
-7.407 0.000 7.852
Ag Hg Pb
1 2 8
direct
0.000 0.000 0.000
0.309 0.309 0.318
0.691 0.691 0.682
0.155 0.155 0.415
0.164 0.164 0.925
0.356 0.356 0.853
0.495 0.495 0.292
0.505 0.505 0.708
0.644 0.644 0.147
0.836 0.836 0.075
0.845 0.845 0.585
```

density of states at the Fermi level: 0.37 states/eV/atom
symmetry: C2/m
M_tot: 0.000 μB/cell
crystal system: monoclinic



Q.
Here is crystalline AgHg2Pb8 at its relaxed geometry from the Alexandria database. Energies are from PBE.

Cell and atoms, written as POSCAR:
```
AgHg2Pb8
1.0
6.914 -4.771 0.000
6.914 4.771 0.000
-2.239 0.000 5.393
Ag Hg Pb
1 2 8
direct
0.000 0.000 0.000
0.130 0.130 0.511
0.870 0.870 0.489
0.192 0.665 0.190
0.242 0.242 0.101
0.335 0.808 0.810
0.384 0.384 0.722
0.616 0.616 0.278
0.665 0.192 0.190
0.758 0.758 0.899
0.808 0.335 0.810
```

density of states at the Fermi level: 0.50 states/eV/atom
symmetry: C2/m
M_tot: 0.000 μB/cell
crystal system: monoclinic



What should be chosen as the least stable of them? Choose Q.